Below is a relaxed structure of TaMoPt2, with properties calculated at the PBEsol level.

Lattice parameters (Å, degrees): 2.7474 4.0711 5.4890 90.00 90.00 90.00
Space group Pmmm (No. 47)
Symmetry-distinct sites (fractional):
Ta 0.0000 0.0000 0.0000 x1
Mo 0.0000 0.0000 0.5000 x1
Pt 0.5000 0.5000 0.2545 x2

Output
mass density: 18.0 g cm⁻³
energy: -40.2 eV for the cell shown
energy above the lowest structure with this stoichiometry: 29.4 meV/atom

=====

Below is a relaxed structure of TaMoPt, with properties calculated at the PBEsol level.

Lattice parameters (Å, degrees): 2.7929 2.7929 7.0907 90.00 90.00 120.00
Space group P3m1 (No. 156)
Symmetry-distinct sites (fractional):
Ta 0.0000 0.0000 0.0000 x1
Mo 0.3333 0.6667 0.6480 x1
Pt 0.6667 0.3333 0.3263 x1

Output
mass density: 16.4 g cm⁻³
energy: -31.5 eV for the cell shown

=====

Below is a relaxed structure of TaMoPt2, with properties calculated at the PBEsol level.

Lattice parameters (Å, degrees): 2.7576 4.5063 4.9413 90.00 90.00 90.00
Space group Pmm2 (No. 25)
Symmetry-distinct sites (fractional):
Ta 0.0000 0.0000 0.0000 x1
Mo 0.0000 0.5000 0.6580 x1
Pt 0.5000 0.0000 0.5065 x1
Pt 0.5000 0.5000 0.1679 x1

Output
mass density: 18.0 g cm⁻³
energy: -40.4 eV for the cell shown
energy above the lowest structure with this stoichiometry: 0.4 meV/atom

=====

Below is a relaxed structure of TaMo2Pt, with properties calculated at the PBEsol level.

Lattice parameters (Å, degrees): 3.9047 3.9047 8.2579 90.00 90.00 90.00
Space group I4/mmm (No. 139)
Symmetry-distinct sites (fractional):
Ta 0.0000 0.0000 0.0000 x2
Mo 0.0000 0.5000 0.2500 x4
Pt 0.0000 0.0000 0.5000 x2

Output
mass density: 15.0 g cm⁻³
energy: -87.0 eV for the cell shown
energy above the lowest structure with this stoichiometry: 61.5 meV/atom

=====

Below is a relaxed structure of TaMoPt2, with properties calculated at the PBEsol level.

Lattice parameters (Å, degrees): 3.8757 3.8757 4.0833 90.00 90.00 90.00
Space group P4/mmm (No. 123)
Symmetry-distinct sites (fractional):
Ta 0.0000 0.0000 0.0000 x1
Mo 0.5000 0.5000 0.0000 x1
Pt 0.0000 0.5000 0.5000 x2

Output
mass density: 18.1 g cm⁻³
energy: -40.4 eV for the cell shown
energy above the lowest structure with this stoichiometry: 0.0 meV/atom

=====

Below is a relaxed structure of TaMo2Pt, with properties calculated at the PBEsol level.

Lattice parameters (Å, degrees): 3.2415 3.2415 6.0284 90.00 90.00 90.00
Space group P4mm (No. 99)
Symmetry-distinct sites (fractional):
Ta 0.0000 0.0000 0.0000 x1
Mo 0.0000 0.0000 0.4840 x1
Mo 0.5000 0.5000 0.2594 x1
Pt 0.5000 0.5000 0.7584 x1

Output
mass density: 14.9 g cm⁻³
energy: -43.7 eV for the cell shown
energy above the lowest structure with this stoichiometry: 0.0 meV/atom

=====

Below is a relaxed structure of TaMoPt2, with properties calculated at the PBEsol level.

Lattice parameters (Å, degrees): 5.4815 8.1326 2.7535 90.00 90.00 90.00
Space group Cmmm (No. 65)
Symmetry-distinct sites (fractional):
Ta 0.0000 0.0000 0.0000 x2
Mo 0.0000 0.5000 0.0000 x2
Pt 0.2500 0.2500 0.5000 x4

Output
mass density: 18.0 g cm⁻³
energy: -80.5 eV for the cell shown
energy above the lowest structure with this stoichiometry: 27.3 meV/atom

=====

Below is a relaxed structure of TaMoPt2, with properties calculated at the PBEsol level.

Lattice parameters (Å, degrees): 3.8746 3.8746 8.1710 90.00 90.00 90.00
Space group I4/mmm (No. 139)
Symmetry-distinct sites (fractional):
Ta 0.0000 0.0000 0.0000 x2
Mo 0.0000 0.0000 0.5000 x2
Pt 0.0000 0.5000 0.2500 x4

Output
mass density: 18.1 g cm⁻³
energy: -80.7 eV for the cell shown
energy above the lowest structure with this stoichiometry: 7.2 meV/atom

=====

Below is a relaxed structure of TcMo2Pt, with properties calculated at the PBEsol level.

Lattice parameters (Å, degrees): 3.2812 3.2812 5.5699 90.00 90.00 90.00
Space group P4/mmm (No. 123)
Symmetry-distinct sites (fractional):
Tc 0.0000 0.0000 0.0000 x1
Mo 0.5000 0.5000 0.2435 x2
Pt 0.0000 0.0000 0.5000 x1

Output
mass density: 13.4 g cm⁻³
energy: -41.6 eV for the cell shown
energy above the lowest structure with this stoichiometry: 218.0 meV/atom

=====

Below is a relaxed structure of TcMoPt, with properties calculated at the PBEsol level.

Lattice parameters (Å, degrees): 2.7225 2.7225 11.8496 90.00 90.00 90.00
Space group I4mm (No. 107)
Symmetry-distinct sites (fractional):
Tc 0.0000 0.0000 0.0000 x2
Mo 0.0000 0.0000 0.3388 x2
Pt 0.0000 0.0000 0.6678 x2

Output
mass density: 14.7 g cm⁻³
energy: -60.6 eV for the cell shown
energy above the lowest structure with this stoichiometry: 0.0 meV/atom

=====

Below is a relaxed structure of TcMo2Pt, with properties calculated at the PBEsol level.

Lattice parameters (Å, degrees): 3.8967 3.8967 3.8729 90.00 90.00 90.00
Space group P4/mmm (No. 123)
Symmetry-distinct sites (fractional):
Tc 0.0000 0.0000 0.0000 x1
Mo 0.0000 0.5000 0.5000 x2
Pt 0.5000 0.5000 0.0000 x1

Output
mass density: 13.7 g cm⁻³
energy: -42.4 eV for the cell shown
energy above the lowest structure with this stoichiometry: 0.0 meV/atom

=====

Below is a relaxed structure of TcMo2Pt, with properties calculated at the PBEsol level.

Lattice parameters (Å, degrees): 3.9056 3.9056 7.7280 90.00 90.00 90.00
Space group I4/mmm (No. 139)
Symmetry-distinct sites (fractional):
Tc 0.0000 0.0000 0.0000 x2
Mo 0.0000 0.5000 0.2500 x4
Pt 0.0000 0.0000 0.5000 x2

Output
mass density: 13.7 g cm⁻³
energy: -84.7 eV for the cell shown
energy above the lowest structure with this stoichiometry: 18.7 meV/atom

=====

Below is a relaxed structure of TcMoPt, with properties calculated at the PBEsol level.

Lattice parameters (Å, degrees): 4.3477 4.3477 2.7177 90.00 90.00 120.00
Space group P-6m2 (No. 187)
Symmetry-distinct sites (fractional):
Tc 0.0000 0.0000 0.0000 x1
Mo 0.6667 0.3333 0.0000 x1
Pt 0.3333 0.6667 0.5000 x1

Output
mass density: 14.5 g cm⁻³
energy: -30.0 eV for the cell shown
energy above the lowest structure with this stoichiometry: 105.5 meV/atom

=====

Below is a relaxed structure of TeMo2Pt, with properties calculated at the PBEsol level.

Lattice parameters (Å, degrees): 3.3437 3.3437 6.0937 90.00 90.00 90.00
Space group P4mm (No. 99)
Symmetry-distinct sites (fractional):
Te 0.0000 0.0000 0.0000 x1
Mo 0.0000 0.0000 0.4928 x1
Mo 0.5000 0.5000 0.2707 x1
Pt 0.5000 0.5000 0.7222 x1

Output
mass density: 12.5 g cm⁻³
energy: -33.3 eV for the cell shown
E_form (uncorrected): 0.8 eV/f.u.

=====

Below is a relaxed structure of Te2MoPt, with properties calculated at the PBEsol level.

Lattice parameters (Å, degrees): 3.4082 3.4082 6.4700 90.00 90.00 90.00
Space group P4/mmm (No. 123)
Symmetry-distinct sites (fractional):
Te 0.0000 0.0000 0.2432 x2
Mo 0.5000 0.5000 0.0000 x1
Pt 0.5000 0.5000 0.5000 x1

Output
mass density: 12.1 g cm⁻³
energy: -25.2 eV for the cell shown
E_form (uncorrected): 0.6 eV/f.u.
energy above the lowest structure with this stoichiometry: 111.4 meV/atom

=====

Below is a relaxed structure of Te2MoPt, with properties calculated at the PBEsol level.

Lattice parameters (Å, degrees): 3.5302 3.5302 25.6333 90.00 90.00 120.00
Space group R-3m (No. 166, hexagonal axes)
Symmetry-distinct sites (fractional):
Te 0.0000 0.0000 0.0993 x6
Mo 0.0000 0.0000 0.0000 x3
Pt 0.0000 0.0000 0.5000 x3

Output
mass density: 9.8 g cm⁻³
energy: -69.1 eV for the cell shown
E_form (uncorrected): 2.7 eV/f.u.
energy above the lowest structure with this stoichiometry: 657.5 meV/atom

=====

Below is a relaxed structure of TeMo2Pt, with properties calculated at the PBEsol level.

Lattice parameters (Å, degrees): 9.2355 3.2420 4.6658 90.00 98.26 90.00
Space group C2/m (No. 12)
Symmetry-distinct sites (fractional):
Te 0.0000 0.0000 0.0000 x2
Mo 0.2372 0.0000 0.7049 x4
Pt 0.0000 0.5000 0.5000 x2

Output
mass density: 12.4 g cm⁻³
energy: -66.2 eV for the cell shown
E_form (uncorrected): 0.9 eV/f.u.

=====

Below is a relaxed structure of Te2MoPt, with properties calculated at the PBEsol level.

Lattice parameters (Å, degrees): 3.3572 3.3572 26.3162 90.00 90.00 120.00
Space group R-3m (No. 166, hexagonal axes)
Symmetry-distinct sites (fractional):
Te 0.0000 0.0000 0.0955 x6
Mo 0.0000 0.0000 0.5000 x3
Pt 0.0000 0.0000 0.0000 x3

Output
mass density: 10.6 g cm⁻³
energy: -75.0 eV for the cell shown
E_form (uncorrected): 0.8 eV/f.u.
energy above the lowest structure with this stoichiometry: 167.0 meV/atom

=====

Below is a relaxed structure of Te2MoPt, with properties calculated at the PBEsol level.

Lattice parameters (Å, degrees): 3.5157 3.5157 7.0819 90.00 90.00 90.00
Space group P4mm (No. 99)
Symmetry-distinct sites (fractional):
Te 0.0000 0.0000 0.0000 x1
Te 0.5000 0.5000 0.4420 x1
Mo 0.0000 0.0000 0.6246 x1
Pt 0.5000 0.5000 0.8390 x1

Output
mass density: 10.4 g cm⁻³
energy: -25.7 eV for the cell shown
E_form (uncorrected): 0.1 eV/f.u.
energy above the lowest structure with this stoichiometry: 0.0 meV/atom

=====

Below is a relaxed structure of Ti2MoPt, with properties calculated at the PBEsol level.

Lattice parameters (Å, degrees): 6.2056 6.2056 6.2056 90.00 90.00 90.00
Space group Fm-3m (No. 225)
Symmetry-distinct sites (fractional):
Ti 0.2500 0.2500 0.2500 x8
Mo 0.0000 0.0000 0.0000 x4
Pt 0.0000 0.0000 0.5000 x4

Output
mass density: 10.7 g cm⁻³
energy: -151.9 eV for the cell shown

=====

Below is a relaxed structure of TiMo2Pt2, with properties calculated at the PBEsol level.

Lattice parameters (Å, degrees): 3.5023 3.5023 13.4204 90.00 90.00 90.00
Space group I4/mmm (No. 139)
Symmetry-distinct sites (fractional):
Ti 0.0000 0.0000 0.0000 x2
Mo 0.0000 0.5000 0.2500 x4
Pt 0.0000 0.0000 0.4057 x4

Output
mass density: 12.7 g cm⁻³
energy: -92.7 eV for the cell shown

=====

Below is a relaxed structure of TlMoPt, with properties calculated at the PBEsol level.

Lattice parameters (Å, degrees): 6.2281 6.2281 6.2281 90.00 90.00 90.00
Space group F-43m (No. 216)
Symmetry-distinct sites (fractional):
Tl 0.0000 0.0000 0.0000 x4
Mo 0.2500 0.2500 0.7500 x4
Pt 0.2500 0.2500 0.2500 x4

Output
mass density: 13.6 g cm⁻³
energy: -72.5 eV for the cell shown

=====

Below is a relaxed structure of TlMoPt2, with properties calculated at the PBEsol level.

Lattice parameters (Å, degrees): 2.8653 2.8653 8.2247 90.00 90.00 90.00
Space group P4/mmm (No. 123)
Symmetry-distinct sites (fractional):
Tl 0.0000 0.0000 0.0000 x1
Mo 0.0000 0.0000 0.5000 x1
Pt 0.5000 0.5000 0.2807 x2

Output
mass density: 17.0 g cm⁻³
energy: -28.6 eV for the cell shown
energy above the lowest structure with this stoichiometry: 0.0 meV/atom

=====

Below is a relaxed structure of TlMoPt2, with properties calculated at the PBEsol level.

Lattice parameters (Å, degrees): 2.8109 4.5701 5.1412 90.00 90.00 90.00
Space group Pmm2 (No. 25)
Symmetry-distinct sites (fractional):
Tl 0.0000 0.0000 0.0000 x1
Mo 0.0000 0.5000 0.3490 x1
Pt 0.5000 0.0000 0.4954 x1
Pt 0.5000 0.5000 0.8159 x1

Output
mass density: 17.4 g cm⁻³
energy: -27.9 eV for the cell shown
energy above the lowest structure with this stoichiometry: 168.6 meV/atom

=====

Below is a relaxed structure of Mo2PtW, with properties calculated at the PBEsol level.

Lattice parameters (Å, degrees): 4.4128 3.1694 8.7437 90.00 90.01 90.00
Space group Cm (No. 8)
Symmetry-distinct sites (fractional):
Mo 0.0000 0.0000 0.0000 x2
Mo 0.0026 0.5000 0.7507 x2
Pt 0.1168 0.5000 0.2495 x2
W 0.0018 0.0000 0.4991 x2

Output
mass density: 15.5 g cm⁻³
energy: -89.1 eV for the cell shown

=====

Below is a relaxed structure of Mo2PtW, with properties calculated at the PBEsol level.

Lattice parameters (Å, degrees): 3.9189 3.9189 3.9486 90.00 90.00 90.00
Space group P4/mmm (No. 123)
Symmetry-distinct sites (fractional):
Mo 0.0000 0.5000 0.0000 x2
Pt 0.0000 0.0000 0.5000 x1
W 0.5000 0.5000 0.5000 x1

Output
mass density: 15.6 g cm⁻³
energy: -44.6 eV for the cell shown

=====

Below is a relaxed structure of MoPtW2, with properties calculated at the PBEsol level.

Lattice parameters (Å, degrees): 6.2852 6.2852 6.2852 90.00 90.00 90.00
Space group Fm-3m (No. 225)
Symmetry-distinct sites (fractional):
Mo 0.0000 0.0000 0.0000 x4
Pt 0.0000 0.0000 0.5000 x4
W 0.2500 0.2500 0.2500 x8

Output
mass density: 17.6 g cm⁻³
energy: -181.2 eV for the cell shown
energy above the lowest structure with this stoichiometry: 248.3 meV/atom

=====

Below is a relaxed structure of MoPtW2, with properties calculated at the PBEsol level.

Lattice parameters (Å, degrees): 2.6825 2.6825 8.5768 90.00 90.00 90.00
Space group P4mm (No. 99)
Symmetry-distinct sites (fractional):
Mo 0.0000 0.0000 0.0000 x1
Pt 0.5000 0.5000 0.2415 x1
W 0.0000 0.0000 0.4808 x1
W 0.5000 0.5000 0.7405 x1

Output
mass density: 17.7 g cm⁻³
energy: -46.2 eV for the cell shown
energy above the lowest structure with this stoichiometry: 8.9 meV/atom

=====

Below is a relaxed structure of MoPtW2, with properties calculated at the PBEsol level.

Lattice parameters (Å, degrees): 2.6671 4.4730 5.2267 90.00 98.60 90.00
Space group P2/m (No. 10)
Symmetry-distinct sites (fractional):
Mo 0.0000 0.0000 0.0000 x1
Pt 0.5000 0.0000 0.5000 x1
W 0.2301 0.5000 0.7539 x2

Output
mass density: 17.7 g cm⁻³
energy: -46.0 eV for the cell shown
energy above the lowest structure with this stoichiometry: 60.3 meV/atom

=====

Below is a relaxed structure of MoPtW2, with properties calculated at the PBEsol level.

Lattice parameters (Å, degrees): 2.6818 4.5027 5.1709 90.00 97.79 90.00
Space group Pm (No. 6)
Symmetry-distinct sites (fractional):
Mo 0.0000 0.0000 0.0000 x1
Pt 0.5712 0.5000 0.2384 x1
W 0.2416 0.5000 0.7330 x1
W 0.5694 0.0000 0.5047 x1

Output
mass density: 17.7 g cm⁻³
energy: -46.3 eV for the cell shown
energy above the lowest structure with this stoichiometry: 0.0 meV/atom

=====

Below is a relaxed structure of Mo2PtW, with properties calculated at the PBEsol level.

Lattice parameters (Å, degrees): 9.2943 2.6769 4.9594 90.00 97.91 90.00
Space group Cm (No. 8)
Symmetry-distinct sites (fractional):
Mo 0.0000 0.0000 0.0000 x2
Mo 0.2421 0.0000 0.7477 x2
Pt 0.4991 0.0000 0.5009 x2
W 0.2562 0.5000 0.2564 x2

Output
mass density: 15.5 g cm⁻³
energy: -88.5 eV for the cell shown